(1)
This record from the Alexandria database describes a geometry-optimized Li2PrGaPd structure. The functional is PBE-GGA.

Cell lengths 3.8262, 4.4883, 6.4439 Å; angles 110.38, 107.27, 90.00 degrees
With the nearest neighbours (Å) after each atom.
Fractional coordinates of all 5 atoms:
1 Li 0.7056 0.2056 0.4112  2 Li 2.57, 2 Pd 2.67
2 Li 0.0557 0.0557 0.1113  1 Pd 2.56, 2 Li 2.57, 2 Ga 2.67
3 Ga 0.1817 0.6817 0.3633  2 Pd 2.58, 2 Li 2.67
4 Pr 0.4367 0.4367 0.8734  4 Pd 3.18, 6 Li 3.25-3.27, 2 Ga 3.40
5 Pd 0.8325 0.8325 0.6650  3 Li 2.56-2.67, 2 Ga 2.58

Computed properties:
V (Å³ per atom): 19.68
DFT total energy (eV/cell): -18.84
Formation energy (eV/atom): -0.402
Size of the total moment (μB per atom): 0.000

---

(2)
This record from the Alexandria database describes a geometry-optimized AlAsIr structure. The functional is PBE-GGA.

Cell lengths 6.0077, 6.0078, 2.9153 Å; angles 75.96, 75.96, 28.08 degrees
With the nearest neighbours (Å) after each atom.
Fractional coordinates of all 3 atoms:
1 Al 0.9800 0.9800 0.0200  4 Ir 2.59
2 As 0.6790 0.6790 0.3210  4 Ir 2.76, 4 As 2.92, 4 Al 3.05
3 Ir 0.3411 0.3411 0.6589  4 Al 2.59, 4 As 2.76

Computed properties:
V (Å³ per atom): 15.99
DFT total energy (eV/cell): -17.85
Formation energy (eV/atom): -0.198
Size of the total moment (μB per atom): 0.000

---

(3)
This record from the Alexandria database describes a geometry-optimized AlRe2Te structure. The functional is PBE-GGA.

Cell lengths 4.8538, 4.8538, 4.8538 Å; angles 129.29, 129.29, 74.54 degrees
With the nearest neighbours (Å) after each atom.
Fractional coordinates of all 4 atoms:
1 Re 0.2500 0.7500 0.5000  4 Re 2.84, 4 Te 2.84, 4 Al 2.94
2 Re 0.0000 0.0000 0.0000  4 Re 2.84, 4 Al 2.84, 4 Te 2.94
3 Te 0.5000 0.5000 0.0000  4 Al 2.84, 8 Re 2.84-2.94
4 Al 0.7500 0.2500 0.5000  8 Re 2.84-2.94, 4 Te 2.84

Computed properties:
V (Å³ per atom): 16.69
DFT total energy (eV/cell): -29.24
Distance to the lowest polymorph of the same formula (eV/f.u.): 1.58
Size of the total moment (μB per atom): 0.000
Uncorrected formation energy (eV per formula unit): 2.54

---

(4)
This record from the Alexandria database describes a geometry-optimized CuBiPO2 structure. The functional is PBE-GGA.

Cell lengths 3.9659, 3.9659, 4.5331 Å; angles 90.00, 90.00, 90.00 degrees
With the nearest neighbours (Å) after each atom.
Fractional coordinates of all 5 atoms:
1 Bi 0.5000 0.5000 0.5000  4 P 2.80, 8 O 3.01
2 Cu 0.0000 0.0000 0.0000  4 O 1.98
3 O 0.0000 0.5000 0.0000  2 Cu 1.98
4 O 0.5000 0.0000 0.0000  2 Cu 1.98
5 P 0.0000 0.0000 0.5000  2 Cu 2.27

Computed properties:
V (Å³ per atom): 14.26
DFT total energy (eV/cell): -23.19
Distance to the lowest polymorph of the same formula (eV/f.u.): 0.00
Size of the total moment (μB per atom): 0.000
Uncorrected formation energy (eV per formula unit): 0.12

---

> Number 3 is which compound?

AlRe2Te

---

> Which formula does entry 2 have?

AlAsIr

---

> Look up the DFT total energy of the third one.

-29.24 eV/cell

---

> Which value of V does entry 1 give?

19.68 Å³ per atom